Record 1
The following is a DFT calculation (GGA-PBE) of an optimized crystal structure of CrAsRh2.

Theoretical density (Mg/m³): 10.0
Electronic total energy (eV/atom): -7.195

Unit cell a=4.2806 b=4.2806 c=4.2806 alpha=60.00 beta=60.00 gamma=60.00
Closest atoms and distances in Å follow each position.
Positions (direct):
Cr 0.0000 0.0000 0.0000  4 Rh 2.62, 4 As 2.62
As 0.2500 0.2500 0.2500  4 Cr 2.62, 4 Rh 2.62
Rh 0.5000 0.5000 0.5000  4 Rh 2.62, 4 As 2.62
Rh 0.7500 0.7500 0.7500  4 Cr 2.62, 4 Rh 2.62

***

Record 2
The following is a DFT calculation (GGA-PBE) of an optimized crystal structure of YTl3B2O6.

Theoretical density (Mg/m³): 6.9
Uncorrected formation energy (eV/atom): -2.04

Unit cell a=5.5231 b=5.5231 c=7.5113 alpha=90.00 beta=90.00 gamma=120.00
Closest atoms and distances in Å follow each position.
Positions (direct):
Y 0.0000 0.0000 0.0000  6 O 2.27
Tl 0.0000 0.0000 0.5000  6 O 2.97
Tl 0.3333 0.6667 0.2883  6 O 2.88
Tl 0.6667 0.3333 0.7117  6 O 2.88
B 0.3333 0.6667 0.8159  3 O 1.39
B 0.6667 0.3333 0.1841  3 O 1.39
O 0.1880 0.3761 0.8150  1 B 1.39
O 0.1880 0.8119 0.8150  1 B 1.39
O 0.3761 0.1880 0.1850  1 B 1.39
O 0.6239 0.8119 0.8150  1 B 1.39
O 0.8119 0.1880 0.1850  1 B 1.39
O 0.8119 0.6239 0.1850  1 B 1.39

***

Record 3
The following is a DFT calculation (GGA-PBE) of an optimized crystal structure of CoSbN2.

Theoretical density (Mg/m³): 7.1
Uncorrected formation energy (eV/atom): 0.61

Unit cell a=6.3382 b=6.3382 c=6.3382 alpha=27.72 beta=27.72 gamma=27.72
Closest atoms and distances in Å follow each position.
Positions (direct):
Co 0.0000 0.0000 0.0000  6 N 1.97
Sb 0.5000 0.5000 0.5000  2 N 2.16
N 0.3820 0.3820 0.3820  3 Co 1.97, 1 Sb 2.16
N 0.6180 0.6180 0.6180  3 Co 1.97, 1 Sb 2.16

***

Record 4
The following is a DFT calculation (GGA-PBE) of an optimized crystal structure of ZrW2Cl.

Energy above the lowest structure with this stoichiometry (eV/atom): 0.607
Theoretical density (Mg/m³): 11.3
Uncorrected formation energy (eV/atom): 0.57

Unit cell a=3.6896 b=3.6896 c=5.3533 alpha=90.00 beta=90.00 gamma=90.00
Closest atoms and distances in Å follow each position.
Positions (direct):
Zr 0.0000 0.0000 0.0000  4 Cl 2.61
W 0.0000 0.5000 0.5000  4 W 2.61
W 0.5000 0.0000 0.5000  4 W 2.61
Cl 0.5000 0.5000 0.0000  4 Zr 2.61

***

Record 5
The following is a DFT calculation (GGA-PBE) of an optimized crystal structure of CaMg2Al2.

Theoretical density (Mg/m³): 2.1
Electronic total energy (eV/atom): -2.582

Unit cell a=8.4406 b=8.4406 c=3.1060 alpha=90.00 beta=90.00 gamma=90.00
Closest atoms and distances in Å follow each position.
Positions (direct):
Ca 0.0000 0.0000 0.0000  2 Ca 3.11, 4 Mg 3.34
Ca 0.5000 0.5000 0.0000  2 Ca 3.11, 4 Mg 3.34
Mg 0.1248 0.3752 0.0000  6 Al 2.88-2.98, 3 Mg 2.98-3.11
Mg 0.3752 0.8752 0.0000  6 Al 2.88-2.98, 3 Mg 2.98-3.11
Mg 0.6248 0.1248 0.0000  6 Al 2.88-2.98, 3 Mg 2.98-3.11
Mg 0.8752 0.6248 0.0000  6 Al 2.88-2.98, 3 Mg 2.98-3.11
Al 0.1725 0.6725 0.5000  6 Mg 2.88-2.98, 2 Al 3.11
Al 0.3275 0.1725 0.5000  6 Mg 2.88-2.98, 2 Al 3.11
Al 0.6725 0.8275 0.5000  6 Mg 2.88-2.98, 2 Al 3.11
Al 0.8275 0.3275 0.5000  6 Mg 2.88-2.98, 2 Al 3.11

***

Record 6
The following is a DFT calculation (GGA-PBE) of an optimized crystal structure of VFe2Ni3.

Energy above the lowest structure with this stoichiometry (eV/atom): 0.000
Theoretical density (Mg/m³): 8.2

Unit cell a=4.3719 b=4.3719 c=8.4195 alpha=94.98 beta=94.98 gamma=120.07
Closest atoms and distances in Å follow each position.
Positions (direct):
V 0.1671 0.8329 0.0000  3 V 2.52-2.53, 3 Fe 2.52, 6 Ni 2.53-2.54
V 0.8329 0.1671 0.0000  3 V 2.52-2.53, 3 Fe 2.52, 6 Ni 2.53-2.54
Fe 0.0000 0.0000 0.5000  6 Fe 2.52-2.53, 6 Ni 2.53
Fe 0.3326 0.6674 0.5000  6 Fe 2.52-2.54, 6 Ni 2.53-2.54
Fe 0.5000 0.5000 0.0000  6 V 2.52, 6 Ni 2.53-2.54
Fe 0.6674 0.3326 0.5000  6 Fe 2.52-2.54, 6 Ni 2.53-2.54
Ni 0.0853 0.4176 0.7502  6 Ni 2.51-2.53, 4 Fe 2.53-2.54, 2 V 2.53-2.54
Ni 0.2506 0.2506 0.2504  6 Ni 2.51-2.53, 4 Fe 2.53-2.54, 2 V 2.54
Ni 0.4176 0.0853 0.7502  6 Ni 2.51-2.53, 4 Fe 2.53-2.54, 2 V 2.53-2.54
Ni 0.5824 0.9147 0.2498  6 Ni 2.51-2.53, 4 Fe 2.53-2.54, 2 V 2.53-2.54
Ni 0.7494 0.7494 0.7496  6 Ni 2.51-2.53, 4 Fe 2.53-2.54, 2 V 2.54
Ni 0.9147 0.5824 0.2498  6 Ni 2.51-2.53, 4 Fe 2.53-2.54, 2 V 2.53-2.54

***

Record 7
The following is a DFT calculation (GGA-PBE) of an optimized crystal structure of AgPd2Pt2.

Energy above the lowest structure with this stoichiometry (eV/atom): 0.214
Theoretical density (Mg/m³): 13.2

Unit cell a=6.8363 b=6.8363 c=6.8363 alpha=147.99 beta=147.99 gamma=45.90
Closest atoms and distances in Å follow each position.
Positions (direct):
Ag 0.0000 0.0000 0.0000  8 Pt 2.94
Pd 0.2500 0.7500 0.5000  4 Pd 2.67, 4 Pt 2.68
Pd 0.7500 0.2500 0.5000  4 Pd 2.67, 4 Pt 2.68
Pt 0.4008 0.4008 0.0000  1 Pt 2.50, 4 Pd 2.68
Pt 0.5992 0.5992 0.0000  1 Pt 2.50, 4 Pd 2.68

***

Record 8
The following is a DFT calculation (GGA-PBE) of an optimized crystal structure of Rb2InAg2.

Energy above the lowest structure with this stoichiometry (eV/atom): 0.110
Theoretical density (Mg/m³): 4.9

Unit cell a=7.6997 b=7.6997 c=5.7554 alpha=90.00 beta=90.00 gamma=90.00
Closest atoms and distances in Å follow each position.
Positions (direct):
Rb 0.1767 0.3233 0.0000  6 Ag 3.55-3.75, 1 Rb 3.85
Rb 0.3233 0.8233 0.0000  6 Ag 3.55-3.75, 1 Rb 3.85
Rb 0.6767 0.1767 0.0000  6 Ag 3.55-3.75, 1 Rb 3.85
Rb 0.8233 0.6767 0.0000  6 Ag 3.55-3.75, 1 Rb 3.85
In 0.0000 0.0000 0.5000  4 Ag 3.01
In 0.5000 0.5000 0.5000  4 Ag 3.01
Ag 0.1325 0.6325 0.5000  1 Ag 2.88, 2 In 3.01
Ag 0.3675 0.1325 0.5000  1 Ag 2.88, 2 In 3.01
Ag 0.6325 0.8675 0.5000  1 Ag 2.88, 2 In 3.01
Ag 0.8675 0.3675 0.5000  1 Ag 2.88, 2 In 3.01

***

Record 9
The following is a DFT calculation (GGA-PBE) of an optimized crystal structure of ErCdGa2.

Energy above the lowest structure with this stoichiometry (eV/atom): 0.000
Theoretical density (Mg/m³): 8.5

Unit cell a=4.4029 b=4.4029 c=4.2252 alpha=90.00 beta=90.00 gamma=90.00
Closest atoms and distances in Å follow each position.
Positions (direct):
Er 0.0000 0.0000 0.0000  8 Ga 3.05, 4 Cd 3.11
Cd 0.5000 0.5000 0.0000  8 Ga 3.05, 4 Er 3.11
Ga 0.0000 0.5000 0.5000  4 Cd 3.05, 4 Er 3.05, 4 Ga 3.11
Ga 0.5000 0.0000 0.5000  4 Cd 3.05, 4 Er 3.05, 4 Ga 3.11

***

Record 10
The following is a DFT calculation (GGA-PBE) of an optimized crystal structure of KIn2Cu.

Theoretical density (Mg/m³): 4.5
Electronic total energy (eV/atom): -2.667

Unit cell a=7.0835 b=7.0835 c=7.0835 alpha=38.21 beta=38.21 gamma=38.21
Closest atoms and distances in Å follow each position.
Positions (direct):
K 0.0000 0.0000 0.0000  8 In 3.73-3.96
In 0.2014 0.2014 0.2014  3 Cu 2.76, 3 In 3.01
In 0.7986 0.7986 0.7986  3 Cu 2.76, 3 In 3.01
Cu 0.5000 0.5000 0.5000  6 In 2.76

***

Question: Which value of theoretical density does entry 4 give?
Answer: 11.3 Mg/m³

***

Question: Which value of theoretical density does entry 6 give?
Answer: 8.2 Mg/m³

***

Question: Number 9 is which compound?
Answer: ErCdGa2